## ZrAsPt2Cl (PBE)

Data for a relaxed structure of ZrAsPt2Cl.

Values from the calculation:
- total DFT energy (no corrections) (eV/atom) = -5.19

POSCAR file:
```
ZrAsPt2Cl
1.0
4.7034 0.0000 0.0000
0.0000 4.7034 0.0000
0.0000 0.0000 4.8697
Zr As Pt Cl
1 1 2 1
Cartesian
0.0000 0.0000 0.0000 Zr
2.3517 2.3517 2.4349 As
0.0000 2.3517 2.4349 Pt
2.3517 0.0000 2.4349 Pt
2.3517 2.3517 0.0000 Cl
```